First-principles (GGA-PBE) data for NaPrY4S8 after structural relaxation, as listed in the Alexandria database.

Unit cell a=8.1252 b=8.1252 c=20.2775 alpha=90.00 beta=90.00 gamma=120.00
Space group R3m (No. 160, hexagonal axes)
Symmetry-distinct sites (fractional):
Na1 0.0000 0.0000 0.0000 (multiplicity 3)
Pr1 0.0000 0.0000 0.6307 (multiplicity 3)
Y1 0.0000 0.0000 0.2527 (multiplicity 3)
Y2 0.1726 0.3452 0.4588 (multiplicity 9)
S1 0.0000 0.0000 0.3849 (multiplicity 3)
S2 0.0000 0.0000 0.8650 (multiplicity 3)
S3 0.0244 0.5122 0.3838 (multiplicity 9)
S4 0.1742 0.3484 0.2047 (multiplicity 9)

Energy relative to the elements, uncorrected = -1.94 eV/atom
VASP energy = -276.56 eV/cell
N(E_F) = 0.0 states/eV per cell
V = 27.6 Å³/atom